VFeRuS2 PBE relaxed; raw formation energy = 0.750 eV per atom; mass density = 5.0 g/cm³; total DFT energy (no corrections) = -6.2726 eV per atom
1.0
4.469 0.000 0.000
0.000 4.519 0.000
0.000 0.000 4.469
Ru S V Fe
1 2 1 1
Direct
0.000 0.500 0.000
0.000 0.000 0.500
0.500 0.000 0.000
0.000 0.000 0.000
0.500 0.500 0.500